# 1
First-principles (GGA-PBE) data for crystalline BeAg2W at its relaxed geometry, as listed in Alexandria via LeMat-Bulk.

Values from the calculation:
**DFT formation energy**: 2.57 eV/f.u.
**V**: 15.7 A^3/atom
**Symmetry**: C2/m (12)
**DOS(E_F)**: 0.56 states/eV per atom
**Energy**: -19.81 eV/cell

Geometry as POSCAR:
```
BeAg2W
1.0
2.694 -4.895 0.000
2.694 4.895 0.000
-1.113 0.000 2.377
Be Ag W
1 2 1
Direct
0.000 0.000 0.000 Be
0.000 0.500 0.500 Ag
0.500 0.000 0.500 Ag
0.500 0.500 0.000 W
```

# 2
First-principles (GGA-PBE) data for crystalline SnBiPd2C at its relaxed geometry, as listed in Alexandria via LeMat-Bulk.

Values from the calculation:
**DFT formation energy**: 6.51 eV/f.u.
**V**: 23.8 A^3/atom
**Symmetry**: P4/mmm (123)
**DOS(E_F)**: 0.64 states/eV per atom
**Energy**: -20.98 eV/cell

Geometry as POSCAR:
```
SnBiPd2C
1.0
5.156 0.000 0.000
0.000 5.156 0.000
0.000 0.000 4.485
Sn Bi Pd C
1 1 2 1
Direct
0.000 0.000 0.000 Sn
0.500 0.500 0.500 Bi
0.000 0.500 0.500 Pd
0.500 0.000 0.500 Pd
0.500 0.500 0.000 C
```

# 3
First-principles (GGA-PBE) data for crystalline Sm15Dy4Sc at its relaxed geometry, as listed in Alexandria via LeMat-Bulk.

Values from the calculation:
**DFT formation energy**: 0.40 eV/f.u.
**V**: 32.8 A^3/atom
**Symmetry**: P4/mmm (123)
**DOS(E_F)**: 1.34 states/eV per atom
**Energy**: -95.13 eV/cell

Geometry as POSCAR:
```
Sm15Dy4Sc
1.0
5.087 0.000 0.000
0.000 5.087 0.000
0.000 0.000 25.357
Sm Dy Sc
15 4 1
Direct
0.000 0.000 0.000 Sm
0.000 0.000 0.198 Sm
0.000 0.000 0.399 Sm
0.000 0.000 0.601 Sm
0.000 0.000 0.802 Sm
0.000 0.500 0.097 Sm
0.000 0.500 0.299 Sm
0.000 0.500 0.500 Sm
0.000 0.500 0.701 Sm
0.000 0.500 0.903 Sm
0.500 0.000 0.097 Sm
0.500 0.000 0.299 Sm
0.500 0.000 0.500 Sm
0.500 0.000 0.701 Sm
0.500 0.000 0.903 Sm
0.500 0.500 0.198 Dy
0.500 0.500 0.399 Dy
0.500 0.500 0.601 Dy
0.500 0.500 0.802 Dy
0.500 0.500 0.000 Sc
```

# 4
First-principles (GGA-PBE) data for crystalline SbAs2Pd2 at its relaxed geometry, as listed in Alexandria via LeMat-Bulk.

Values from the calculation:
**V**: 19.8 A^3/atom
**ΔE to the lowest computed polymorph**: 4.0 kJ per mole of atoms
**Symmetry**: I4/mmm (139)
**Energy relative to the elements, uncorrected**: -0.068 eV per atom
**DOS(E_F)**: 0.64 states/eV per atom
**Energy**: -24.15 eV/cell

Geometry as POSCAR:
```
SbAs2Pd2
1.0
-2.174 2.174 5.232
2.174 -2.174 5.232
2.174 2.174 -5.232
Sb As Pd
1 2 2
Direct
0.000 0.000 0.000 Sb
0.380 0.380 0.000 As
0.620 0.620 0.000 As
0.250 0.750 0.500 Pd
0.750 0.250 0.500 Pd
```

# 5
First-principles (GGA-PBE) data for crystalline Si2BiC at its relaxed geometry, as listed in Alexandria via LeMat-Bulk.

Values from the calculation:
**V**: 18.0 A^3/atom
**ΔE to the lowest computed polymorph**: 121.7 kJ per mole of atoms
**Symmetry**: Fm-3m (225)
**Energy relative to the elements, uncorrected**: 1.832 eV per atom
**DOS(E_F)**: 0.54 states/eV per atom
**Energy**: -16.62 eV/cell

Geometry as POSCAR:
```
Si2BiC
1.0
0.000 3.304 3.304
3.304 0.000 3.304
3.304 3.304 0.000
Si Bi C
2 1 1
Direct
0.250 0.250 0.250 Si
0.750 0.750 0.750 Si
0.000 0.000 0.000 Bi
0.500 0.500 0.500 C
```

# 6
First-principles (GGA-PBE) data for crystalline NdDy2ErTm at its relaxed geometry, as listed in Alexandria via LeMat-Bulk.

Values from the calculation:
**DFT formation energy**: 1.94 eV/f.u.
**V**: 34.4 A^3/atom
**Symmetry**: Cmcm (63)
**DOS(E_F)**: 1.36 states/eV per atom
**Energy**: -42.13 eV/cell

Geometry as POSCAR:
```
NdDy2ErTm
1.0
4.182 -5.713 0.000
4.182 5.713 0.000
0.000 0.000 7.193
Nd Dy Er Tm
2 4 2 2
Direct
0.228 0.772 0.750 Nd
0.772 0.228 0.250 Nd
0.191 0.191 0.000 Dy
0.191 0.191 0.500 Dy
0.809 0.809 0.000 Dy
0.809 0.809 0.500 Dy
0.500 0.500 0.250 Er
0.500 0.500 0.750 Er
0.222 0.778 0.250 Tm
0.778 0.222 0.750 Tm
```